Material: Pr4SnHg2
Method: DFT, PBE
State: relaxed

Cell lengths 5.409, 5.409, 9.327 Å; angles 73.14, 73.14, 60.00 degrees
Fractional positions:
Hg 0.752 0.752 0.744
Hg 0.248 0.248 0.256
Pr 0.873 0.873 0.382
Pr 0.380 0.380 0.861
Pr 0.620 0.620 0.139
Pr 0.127 0.127 0.618
Sn 0.000 0.000 0.000

Results
Space group ... R-3m
Energy of formation ... -0.373 eV/atom
Calculated volume ... 222.7 Å³/cell


Material: Pr3Sn3Hg
Method: DFT, PBE
State: relaxed

Cell lengths 6.392, 9.438, 9.438 Å; angles 120.00, 90.00, 90.00 degrees
Fractional positions:
Sn 0.250 0.704 0.658
Sn 0.250 0.954 0.296
Sn 0.750 0.296 0.342
Sn 0.750 0.046 0.704
Sn 0.250 0.342 0.046
Sn 0.750 0.658 0.954
Pr 0.750 0.372 0.052
Pr 0.250 0.052 0.680
Pr 0.250 0.628 0.948
Pr 0.750 0.680 0.628
Pr 0.750 0.948 0.320
Pr 0.250 0.320 0.372
Hg 0.750 0.333 0.667
Hg 0.250 0.667 0.333

Results
Space group ... P6_3/m
Energy of formation ... -0.424 eV/atom
Calculated volume ... 493.2 Å³/cell


Material: Pr5SnHg2
Method: DFT, PBE
State: relaxed

Cell lengths 8.211, 8.211, 9.459 Å; angles 115.72, 115.72, 90.00 degrees
Fractional positions:
Sn 0.250 0.250 0.500
Sn 0.750 0.750 0.500
Pr 0.813 0.994 0.306
Pr 0.494 0.313 0.306
Pr 0.006 0.506 0.694
Pr 0.994 0.494 0.306
Pr 0.687 0.187 0.694
Pr 0.187 0.006 0.694
Pr 0.313 0.813 0.306
Pr 0.000 0.000 0.000
Pr 0.506 0.687 0.694
Pr 0.500 0.500 0.000
Hg 0.867 0.633 0.000
Hg 0.133 0.367 0.000
Hg 0.633 0.133 0.000
Hg 0.367 0.867 0.000

Results
Space group ... I4/mcm
Energy of formation ... -0.435 eV/atom
Calculated volume ... 503.5 Å³/cell